1.
TiSnO3 | PBEsol | optimized geometry

Cell lengths 3.991, 3.991, 3.991 Å; angles 90.00, 90.00, 90.00 degrees
Sites, in units of the cell vectors:
Ti: 0.000 0.000 0.000
Sn: 0.500 0.500 0.500
O: 0.000 0.500 0.500
O: 0.500 0.000 0.500
O: 0.500 0.500 0.000

## Properties
Calculated volume ... 63.6 Å³ per cell
Total energy ... -33.87 eV/f.u.


2.
NdCuTeO | PBEsol | optimized geometry

Cell lengths 4.067, 4.067, 9.194 Å; angles 90.00, 90.00, 90.00 degrees
Sites, in units of the cell vectors:
Nd: 0.250 0.250 0.125
Nd: 0.750 0.750 0.875
Cu: 0.250 0.750 0.500
Cu: 0.750 0.250 0.500
Te: 0.250 0.250 0.680
Te: 0.750 0.750 0.320
O: 0.250 0.750 0.000
O: 0.750 0.250 0.000

## Properties
Calculated volume ... 152.1 Å³ per cell
Total energy ... -25.52 eV/f.u.


3.
SrFeRe2I | PBEsol | optimized geometry

Cell lengths 4.833, 4.833, 5.633 Å; angles 90.00, 90.00, 90.00 degrees
Sites, in units of the cell vectors:
Sr: 0.000 0.000 0.000
Fe: 0.500 0.500 0.000
Re: 0.000 0.500 0.500
Re: 0.500 0.000 0.500
I: 0.000 0.000 0.500

## Properties
Calculated volume ... 131.6 Å³ per cell
Total energy ... -26.69 eV/f.u.


4.
Ca3ScCoO6 | PBEsol | optimized geometry

Cell lengths 6.301, 6.301, 6.301 Å; angles 92.39, 92.39, 92.39 degrees
Sites, in units of the cell vectors:
Ca: 0.119 0.750 0.381
Ca: 0.250 0.619 0.881
Ca: 0.381 0.119 0.750
Ca: 0.619 0.881 0.250
Ca: 0.750 0.381 0.119
Ca: 0.881 0.250 0.619
Sc: 0.250 0.250 0.250
Sc: 0.750 0.750 0.750
Co: 0.000 0.000 0.000
Co: 0.500 0.500 0.500
O: 0.044 0.912 0.710
O: 0.088 0.290 0.956
O: 0.210 0.412 0.544
O: 0.290 0.956 0.088
O: 0.412 0.544 0.210
O: 0.456 0.790 0.588
O: 0.544 0.210 0.412
O: 0.588 0.456 0.790
O: 0.710 0.044 0.912
O: 0.790 0.588 0.456
O: 0.912 0.710 0.044
O: 0.956 0.088 0.290

## Properties
Calculated volume ... 249.5 Å³ per cell
Total energy ... -82.46 eV/f.u.


5.
Re2MoPb | PBEsol | optimized geometry

Cell lengths 2.941, 4.037, 5.760 Å; angles 90.00, 90.00, 90.00 degrees
Sites, in units of the cell vectors:
Re: 0.000 0.000 0.207
Re: 0.000 0.000 0.793
Mo: 0.500 0.500 0.000
Pb: 0.500 0.500 0.500

## Properties
Energy of formation ... 0.683 eV/atom
Calculated volume ... 68.4 Å³ per cell


6.
GdTlTe2 | PBEsol | optimized geometry

Cell lengths 8.378, 8.378, 8.378 Å; angles 30.32, 30.32, 30.32 degrees
Sites, in units of the cell vectors:
Gd: 0.000 0.000 0.000
Tl: 0.500 0.500 0.500
Te: 0.260 0.260 0.260
Te: 0.740 0.740 0.740

## Properties
Calculated volume ... 132.8 Å³ per cell
Total energy ... -28.24 eV/f.u.


7.
BePNF2 | PBEsol | optimized geometry

Cell lengths 4.201, 4.201, 3.277 Å; angles 90.00, 90.00, 90.00 degrees
Sites, in units of the cell vectors:
Be: 0.000 0.000 0.000
P: 0.500 0.500 0.500
N: 0.500 0.500 0.000
F: 0.000 0.500 0.500
F: 0.500 0.000 0.500

## Properties
Calculated volume ... 57.8 Å³ per cell
Total energy ... -22.55 eV/f.u.


8.
CaLaFeBiO6 | PBEsol | optimized geometry

Cell lengths 5.571, 5.810, 9.769 Å; angles 90.00, 123.29, 90.00 degrees
Sites, in units of the cell vectors:
Ca: 0.000 0.191 0.000
Ca: 0.000 0.809 0.500
La: 0.460 0.307 0.498
La: 0.460 0.693 0.998
Fe: 0.227 0.250 0.749
Fe: 0.227 0.750 0.249
Bi: 0.727 0.245 0.247
Bi: 0.727 0.755 0.747
O: 0.006 0.432 0.805
O: 0.006 0.568 0.305
O: 0.113 0.026 0.314
O: 0.113 0.974 0.814
O: 0.341 0.470 0.186
O: 0.341 0.530 0.686
O: 0.447 0.067 0.692
O: 0.447 0.933 0.192
O: 0.576 0.293 0.980
O: 0.576 0.707 0.480
O: 0.886 0.202 0.517
O: 0.886 0.798 0.017

## Properties
Calculated volume ... 264.3 Å³ per cell
Total energy ... -73.36 eV/f.u.


9.
Ti2TlHgAs | PBEsol | optimized geometry

Cell lengths 5.137, 5.137, 5.093 Å; angles 90.00, 90.00, 90.00 degrees
Sites, in units of the cell vectors:
Ti: 0.000 0.500 0.000
Ti: 0.500 0.000 0.000
Tl: 0.000 0.000 0.000
Hg: 0.000 0.000 0.500
As: 0.500 0.500 0.500

## Properties
Energy of formation ... 1.218 eV/atom
Calculated volume ... 134.4 Å³ per cell


10.
Lu2InAu2 | PBEsol | optimized geometry

Cell lengths 7.728, 7.728, 3.581 Å; angles 90.00, 90.00, 90.00 degrees
Sites, in units of the cell vectors:
Lu: 0.167 0.333 0.000
Lu: 0.333 0.833 0.000
Lu: 0.667 0.167 0.000
Lu: 0.833 0.667 0.000
In: 0.000 0.000 0.500
In: 0.500 0.500 0.500
Au: 0.130 0.630 0.500
Au: 0.370 0.130 0.500
Au: 0.630 0.870 0.500
Au: 0.870 0.370 0.500

## Properties
Energy of formation ... -0.854 eV/atom
Calculated volume ... 213.9 Å³ per cell


11.
TaAs2RuSe | PBEsol | optimized geometry

Cell lengths 4.566, 4.566, 4.984 Å; angles 90.00, 90.00, 90.00 degrees
Sites, in units of the cell vectors:
Ta: 0.000 0.000 0.000
As: 0.000 0.500 0.500
As: 0.500 0.000 0.500
Ru: 0.500 0.500 0.500
Se: 0.500 0.500 0.000

## Properties
Calculated volume ... 103.9 Å³ per cell
Total energy ... -31.86 eV/f.u.


12.
P2RhCl | PBEsol | optimized geometry

Cell lengths 4.796, 4.796, 2.945 Å; angles 90.00, 90.00, 119.69 degrees
Sites, in units of the cell vectors:
P: 0.000 0.500 0.000
P: 0.500 0.000 0.000
Rh: 0.000 0.000 0.500
Cl: 0.500 0.500 0.500

## Properties
Calculated volume ... 58.9 Å³ per cell
Energy relative to the lowest polymorph listed for this composition ... 645 meV/atom


13.
Zn2TcMo | PBEsol | optimized geometry

Cell lengths 9.063, 9.063, 9.063 Å; angles 17.20, 17.20, 17.20 degrees
Sites, in units of the cell vectors:
Zn: 0.248 0.248 0.248
Zn: 0.752 0.752 0.752
Tc: 0.500 0.500 0.500
Mo: 0.000 0.000 0.000

## Properties
Energy of formation ... 0.225 eV/atom
Calculated volume ... 56.8 Å³ per cell
Energy relative to the lowest polymorph listed for this composition ... 187 meV/atom


14.
LaTlCo2 | PBEsol | optimized geometry

Cell lengths 4.623, 4.623, 4.623 Å; angles 60.00, 60.00, 60.00 degrees
Sites, in units of the cell vectors:
La: 0.000 0.000 0.000
Tl: 0.500 0.500 0.500
Co: 0.250 0.250 0.250
Co: 0.750 0.750 0.750

## Properties
Energy of formation ... 0.174 eV/atom
Calculated volume ... 69.9 Å³ per cell
Energy relative to the lowest polymorph listed for this composition ... 0 meV/atom


15.
CsTeAs3 | PBEsol | optimized geometry

Cell lengths 5.542, 5.542, 5.542 Å; angles 90.00, 90.00, 90.00 degrees
Sites, in units of the cell vectors:
Cs: 0.000 0.000 0.000
Te: 0.500 0.500 0.500
As: 0.000 0.000 0.500
As: 0.000 0.500 0.000
As: 0.500 0.000 0.000

## Properties
Calculated volume ... 170.2 Å³ per cell
Total energy ... -10.78 eV/f.u.


16.
RbCa3Y | PBEsol | optimized geometry

Cell lengths 6.440, 6.440, 6.440 Å; angles 90.00, 90.00, 90.00 degrees
Sites, in units of the cell vectors:
Rb: 0.000 0.000 0.000
Ca: 0.000 0.500 0.500
Ca: 0.500 0.000 0.500
Ca: 0.500 0.500 0.000
Y: 0.500 0.500 0.500

## Properties
Energy of formation ... 0.640 eV/atom
Calculated volume ... 267.1 Å³ per cell


17.
ZnAgPt2 | PBEsol | optimized geometry

Cell lengths 4.704, 4.704, 4.704 Å; angles 130.09, 130.09, 73.27 degrees
Sites, in units of the cell vectors:
Zn: 0.000 0.000 0.000
Ag: 0.500 0.500 0.000
Pt: 0.250 0.750 0.500
Pt: 0.750 0.250 0.500

## Properties
Energy of formation ... -0.224 eV/atom
Calculated volume ... 59.5 Å³ per cell


18.
Zn2CoAs | PBEsol | optimized geometry

Cell lengths 4.488, 4.488, 2.968 Å; angles 90.00, 90.00, 114.87 degrees
Sites, in units of the cell vectors:
Zn: 0.000 0.500 0.000
Zn: 0.500 0.000 0.000
Co: 0.000 0.000 0.500
As: 0.500 0.500 0.500

## Properties
Energy of formation ... 0.118 eV/atom
Calculated volume ... 54.2 Å³ per cell


19.
Li2AlAu2 | PBEsol | optimized geometry

Cell lengths 6.840, 6.840, 3.372 Å; angles 90.00, 90.00, 90.00 degrees
Sites, in units of the cell vectors:
Li: 0.151 0.349 0.000
Li: 0.349 0.849 0.000
Li: 0.651 0.151 0.000
Li: 0.849 0.651 0.000
Al: 0.000 0.000 0.500
Al: 0.500 0.500 0.500
Au: 0.150 0.650 0.500
Au: 0.350 0.150 0.500
Au: 0.650 0.850 0.500
Au: 0.850 0.350 0.500

## Properties
Energy of formation ... -0.424 eV/atom
Calculated volume ... 157.8 Å³ per cell


20.
MgBe2Mo | PBEsol | optimized geometry

Cell lengths 3.807, 4.901, 4.901 Å; angles 33.26, 90.00, 90.00 degrees
Sites, in units of the cell vectors:
Mg: 0.000 0.000 0.000
Be: 0.000 0.734 0.734
Be: 0.500 0.598 0.598
Mo: 0.500 0.323 0.323

## Properties
Energy of formation ... 0.261 eV/atom
Calculated volume ... 50.2 Å³ per cell


21.
AsRhCl2 | PBEsol | optimized geometry

Cell lengths 4.453, 4.453, 3.300 Å; angles 90.00, 90.00, 90.00 degrees
Sites, in units of the cell vectors:
As: 0.000 0.000 0.000
Rh: 0.500 0.500 0.000
Cl: 0.000 0.500 0.500
Cl: 0.500 0.000 0.500

## Properties
Calculated volume ... 65.4 Å³ per cell
Energy relative to the lowest polymorph listed for this composition ... 1162 meV/atom


22.
NbHgC3 | PBEsol | optimized geometry

Cell lengths 4.084, 4.084, 4.084 Å; angles 90.00, 90.00, 90.00 degrees
Sites, in units of the cell vectors:
Nb: 0.000 0.000 0.000
Hg: 0.500 0.500 0.500
C: 0.000 0.500 0.500
C: 0.500 0.000 0.500
C: 0.500 0.500 0.000

## Properties
Energy of formation ... 3.211 eV/atom
Calculated volume ... 68.1 Å³ per cell


23.
AgRhAu2 | PBEsol | optimized geometry

Cell lengths 4.745, 4.745, 4.745 Å; angles 128.44, 128.44, 75.92 degrees
Sites, in units of the cell vectors:
Ag: 0.000 0.000 0.000
Rh: 0.500 0.500 0.000
Au: 0.250 0.750 0.500
Au: 0.750 0.250 0.500

## Properties
Energy of formation ... 0.141 eV/atom
Calculated volume ... 63.7 Å³ per cell
Energy relative to the lowest polymorph listed for this composition ... 52 meV/atom


24.
RbGa2Au2 | PBEsol | optimized geometry

Cell lengths 6.315, 6.315, 6.315 Å; angles 137.47, 137.47, 61.71 degrees
Sites, in units of the cell vectors:
Rb: 0.000 0.000 0.000
Ga: 0.250 0.750 0.500
Ga: 0.750 0.250 0.500
Au: 0.369 0.369 0.000
Au: 0.631 0.631 0.000

## Properties
Energy of formation ... -0.224 eV/atom
Calculated volume ... 113.8 Å³ per cell


How do the records compare in mass density? In the order shown, they have 5.6 7.7 8.1 4.3 16.4 7.7 2.6 6.8 7.1 13.3 8.2 5.7 9.5 11.0 4.7 1.8 15.7 8.1 9.2 4.6 6.3 8.0 15.8 9.0 Mg/m³.